# 1
# Hf2ZrNi2As4Pd2 (GGA-PBE, relaxed)
data_Hf2ZrNi2As4Pd2
_chemical_formula_sum 'Hf2 Zr1 Ni2 As4 Pd2'
_cell_length_a 6.546
_cell_length_b 3.879
_cell_length_c 7.452
_cell_angle_alpha 90.00
_cell_angle_beta 90.28
_cell_angle_gamma 90.00
_space_group_name_H-M_alt 'P 1 m 1'
_space_group_IT_number 6
loop_
_space_group_symop_operation_xyz
'x,y,z'
'x,-y,z'
loop_
_atom_site_label
_atom_site_fract_x
_atom_site_fract_y
_atom_site_fract_z
Hf1 0.000 0.000 0.000
Hf2 0.066 0.500 0.625
Zr1 0.558 0.500 0.481
Ni1 0.149 0.500 0.250
Ni2 0.676 0.500 0.858
As1 0.283 0.000 0.401
As2 0.291 0.500 0.952
As3 0.752 0.500 0.166
As4 0.773 0.000 0.693
Pd1 0.376 0.000 0.747
Pd2 0.890 0.000 0.369
# * theoretical density: 9.5 g/cm³
# * crystal system: monoclinic
# * E above lowest polymorph: 17 meV per atom



# 2
# RbGeAu3O4 (GGA-PBE, relaxed)
data_RbGeAu3O4
_chemical_formula_sum 'Rb1 Ge1 Au3 O4'
_cell_length_a 5.810
_cell_length_b 5.810
_cell_length_c 5.810
_cell_angle_alpha 90.00
_cell_angle_beta 90.00
_cell_angle_gamma 90.00
_space_group_name_H-M_alt 'P -4 3 m'
_space_group_IT_number 215
_space_group_name_Hall 'P -4 2 3'
loop_
_atom_site_label
_atom_site_fract_x
_atom_site_fract_y
_atom_site_fract_z
Rb1 0.000 0.000 0.000
Ge1 0.500 0.500 0.500
Au1 0.000 0.500 0.500
O1 0.321 0.321 0.321
# * theoretical density: 6.9 g/cm³
# * total energy: -4.31 eV/atom
# * crystal system: cubic



# 3
# RbPrSeO (GGA-PBE, relaxed)
data_RbPrSeO
_chemical_formula_sum 'Rb4 Pr4 Se4 O4'
_cell_length_a 6.057
_cell_length_b 6.050
_cell_length_c 12.151
_cell_angle_alpha 90.00
_cell_angle_beta 103.35
_cell_angle_gamma 90.00
_space_group_name_H-M_alt 'P 1 21 1'
_space_group_IT_number 4
loop_
_space_group_symop_operation_xyz
'x,y,z'
'-x,y+1/2,-z'
loop_
_atom_site_label
_atom_site_fract_x
_atom_site_fract_y
_atom_site_fract_z
Rb1 0.051 0.000 0.103
Rb2 0.449 0.002 0.897
Pr1 0.044 0.260 0.593
Pr2 0.456 0.260 0.407
Se1 0.103 0.498 0.216
Se2 0.398 0.499 0.784
O1 0.250 0.010 0.500
O2 0.250 0.511 0.500
# * theoretical density: 4.9 g/cm³
# * crystal system: monoclinic
# * E above lowest polymorph: 0 meV per atom



# 4
# LaIn2Pd (GGA-PBE, relaxed)
data_LaIn2Pd
_chemical_formula_sum 'La4 In8 Pd4'
_cell_length_a 4.675
_cell_length_b 10.796
_cell_length_c 7.654
_cell_angle_alpha 90.00
_cell_angle_beta 90.00
_cell_angle_gamma 90.00
_space_group_name_H-M_alt 'C m c m'
_space_group_IT_number 63
_space_group_name_Hall '-C 2c 2'
loop_
_atom_site_label
_atom_site_fract_x
_atom_site_fract_y
_atom_site_fract_z
La1 0.000 0.075 0.250
In1 0.000 0.361 0.051
Pd1 0.000 0.209 0.750
# * theoretical density: 8.2 g/cm³
# * total energy: -4.57 eV/atom
# * crystal system: orthorhombic



Calculated volume? In order: 189.2, 196.2, 433.2, 386.3 Å³/cell.